Density functional theory data (PBE-GGA) for a relaxed structure of MgZr2Tl3Te6.

M_tot, Bohr magnetons per cell: 0.2
Energy relative to the elements, uncorrected, eV per atom: -0.639

a = 7.344 Å, b = 12.720 Å, c = 8.548 Å
α = 90.00°, β = 106.61°, γ = 90.00°
Space group C2/m (No. 12)
Inequivalent atoms, fractional coordinates:
1 Mg 0.000 0.000 0.000 (multiplicity 2)
2 Zr 0.000 0.333 0.000 (multiplicity 4)
3 Tl 0.000 0.167 0.500 (multiplicity 4)
4 Tl 0.000 0.500 0.500 (multiplicity 2)
5 Te 0.233 0.500 0.203 (multiplicity 4)
6 Te 0.236 0.168 0.205 (multiplicity 8)